# 1
# AcSm2Tl, optimized geometry, DFT PBE-GGA
# energy above the most stable polymorph in this dataset	0.0304	eV per atom
data_AcSm2Tl
_space_group_name_H-M_alt 'P 4/m m m'
_space_group_IT_number 123
_space_group_name_Hall '-P 4 2'
_cell_length_a 5.102
_cell_length_b 5.102
_cell_length_c 5.048
_cell_angle_alpha 90.00
_cell_angle_beta 90.00
_cell_angle_gamma 90.00
loop_
_atom_site_label
_atom_site_fract_x
_atom_site_fract_y
_atom_site_fract_z
Ac1 0.000 0.000 0.000
Sm1 0.000 0.500 0.500
Tl1 0.500 0.500 0.000

# 2
Ac3Sm2Tl6 | PBE-GGA | optimized geometry

```
data_Ac3Sm2Tl6
_space_group_name_H-M_alt 'I 4/m m m'
_space_group_IT_number 139
_space_group_name_Hall '-I 4 2'
_cell_length_a 5.079
_cell_length_b 5.079
_cell_length_c 29.594
_cell_angle_alpha 90.00
_cell_angle_beta 90.00
_cell_angle_gamma 90.00
loop_
_atom_site_label
_atom_site_fract_x
_atom_site_fract_y
_atom_site_fract_z
Ac1 0.000 0.000 0.000
Ac2 0.000 0.000 0.198
Sm1 0.000 0.000 0.444
Tl1 0.000 0.000 0.313
Tl2 0.000 0.500 0.115
```

# 3
AcSm7Tl5 | PBE-GGA | optimized geometry

```
data_AcSm7Tl5
_space_group_name_H-M_alt 'I m m 2'
_space_group_IT_number 44
_space_group_name_Hall 'I 2 -2'
_cell_length_a 6.683
_cell_length_b 10.938
_cell_length_c 11.218
_cell_angle_alpha 90.00
_cell_angle_beta 90.00
_cell_angle_gamma 90.00
loop_
_atom_site_label
_atom_site_fract_x
_atom_site_fract_y
_atom_site_fract_z
Ac1 0.000 0.000 0.000
Sm1 0.000 0.000 0.349
Sm2 0.000 0.000 0.661
Sm3 0.000 0.304 0.477
Sm4 0.000 0.342 0.996
Sm5 0.000 0.500 0.721
Tl1 0.000 0.500 0.252
Tl2 0.249 0.256 0.736
```

Across the entries above, energy takes the values -4.1178; -3.4423; -3.9735 eV per atom, respectively.
Across the entries above, DFT formation energy takes the values -0.14; -0.17; -0.21 eV per atom, respectively.
Across the entries above, total magnetic moment takes the values 0.010; 0.000; 0.003 μB per formula unit, respectively.